VASP calculation (PBE) on Cs2CdBrCl6 after structural relaxation.

Cell: 7.543 7.543 7.995 Å, 61.85 61.85 90.00°
Positions (direct):
Br: 0.500 0.500 0.000
Cs: 0.250 0.750 0.500
Cl: 0.745 0.255 0.000
Cl: 0.792 0.792 0.416
Cs: 0.750 0.250 0.500
Cd: 0.000 0.000 0.000
Cl: 0.255 0.255 0.000
Cl: 0.208 0.208 0.584
Cl: 0.745 0.745 0.000
Cl: 0.255 0.745 0.000

- symmetry = I4/mmm, No. 139
- formation energy without anion corrections (meV per atom) = -1043


VASP calculation (PBE) on BaHoCdAg after structural relaxation.

Cell: 5.553 5.553 5.553 Å, 60.00 60.00 60.00°
Positions (direct):
Ho: 0.500 0.500 0.500
Ba: 0.000 0.000 0.000
Ag: 0.250 0.250 0.250
Cd: 0.750 0.750 0.750

- symmetry = F-43m, No. 216
- energy relative to the elements (meV per atom) = -128


VASP calculation (PBE) on Hg2Pb2Au3 after structural relaxation.

Cell: 4.551 6.019 7.094 Å, 80.97 71.29 67.78°
Positions (direct):
Au: 0.483 0.356 0.678
Au: 0.500 0.000 0.000
Au: 0.517 0.644 0.322
Hg: 0.138 0.687 0.037
Pb: 0.191 0.222 0.396
Pb: 0.809 0.778 0.604
Hg: 0.862 0.313 0.963

- symmetry = C2/m, No. 12
- energy relative to the elements (meV per atom) = -8


VASP calculation (PBE) on Ca2TaTe after structural relaxation.

Cell: 6.514 6.514 6.514 Å, 147.90 130.18 60.51°
Positions (direct):
Ca: 0.028 0.028 0.000
Te: 0.276 0.776 0.500
Ta: 0.466 0.466 0.000
Ca: 0.730 0.230 0.500

- symmetry = Imm2, No. 44
- formation energy without anion corrections (meV per atom) = 64


VASP calculation (PBE) on PrPuNiRu after structural relaxation.

Cell: 4.884 4.884 4.884 Å, 60.00 60.00 60.00°
Positions (direct):
Ni: 0.000 0.000 0.000
Pu: 0.250 0.250 0.250
Pr: 0.750 0.750 0.750
Ru: 0.500 0.500 0.500

- symmetry = F-43m, No. 216
- energy relative to the elements (meV per atom) = -52


VASP calculation (PBE) on KNiP after structural relaxation.

Cell: 5.291 3.798 3.798 Å, 120.00 90.00 90.00°
Positions (direct):
K: 0.667 0.667 0.333
P: 0.166 0.333 0.667
Ni: 0.167 0.000 0.000

- symmetry = P-6m2, No. 187
- energy relative to the elements (meV per atom) = -291


VASP calculation (PBE) on NiIBr2 after structural relaxation.

Cell: 3.589 3.589 12.084 Å, 81.46 81.46 60.00°
Positions (direct):
Ni: 0.500 0.500 0.500
Br: 0.126 0.126 0.621
Br: 0.874 0.874 0.379
I: 0.000 0.000 0.000

- symmetry = R-3m, No. 166
- energy above the most stable polymorph in this dataset (meV per atom) = 36
- formation energy without anion corrections (meV per atom) = -152


VASP calculation (PBE) on FeCuN after structural relaxation.

Cell: 2.724 2.724 8.757 Å, 90.00 90.00 90.00°
Positions (direct):
N: 0.000 0.500 0.368
N: 0.500 0.000 0.632
Cu: 0.000 0.500 0.908
Cu: 0.500 0.000 0.092
Fe: 0.000 0.500 0.609
Fe: 0.500 0.000 0.391

- symmetry = P4/nmm, No. 129
- energy above the most stable polymorph in this dataset (meV per atom) = 48
- formation energy without anion corrections (meV per atom) = 356


| no. | magnetic moment (Bohr magnetons per cell) |
| --- | --- |
| 1 | 1.0 |
| 2 | 0.0 |
| 3 | 0.0 |
| 4 | 0.6 |
| 5 | 4.5 |
| 6 | 0.0 |
| 7 | 2.0 |
| 8 | 4.4 |